No. 1
A geometry-optimized PmScFe structure, computed with PBE.

As for the formation energy: 0.9857 eV/atom.

a = 6.5497 Å, b = 6.5497 Å, c = 6.5497 Å
α = 90.00°, β = 90.00°, γ = 90.00°
With the nearest neighbours (Å) after each atom.
Fractional positions:
Pm: 0.0000 0.0000 0.0000  4 Fe 2.84, 4 Sc 2.84
Pm: 0.0000 0.5000 0.5000  4 Fe 2.84, 4 Sc 2.84
Pm: 0.5000 0.0000 0.5000  4 Fe 2.84, 4 Sc 2.84
Pm: 0.5000 0.5000 0.0000  4 Fe 2.84, 4 Sc 2.84
Sc: 0.2500 0.2500 0.2500  4 Pm 2.84
Sc: 0.2500 0.7500 0.7500  4 Pm 2.84
Sc: 0.7500 0.2500 0.7500  4 Pm 2.84
Sc: 0.7500 0.7500 0.2500  4 Pm 2.84
Fe: 0.2500 0.2500 0.7500  4 Pm 2.84
Fe: 0.2500 0.7500 0.2500  4 Pm 2.84
Fe: 0.7500 0.2500 0.2500  4 Pm 2.84
Fe: 0.7500 0.7500 0.7500  4 Pm 2.84


No. 2
A geometry-optimized InCoAgPt structure, computed with PBE.

a = 6.3900 Å, b = 6.3900 Å, c = 6.3900 Å
α = 90.00°, β = 90.00°, γ = 90.00°
With the nearest neighbours (Å) after each atom.
Fractional positions:
In: 0.0000 0.0000 0.0000  4 Co 2.77, 4 Pt 2.77
In: 0.0000 0.5000 0.5000  4 Co 2.77, 4 Pt 2.77
In: 0.5000 0.0000 0.5000  4 Co 2.77, 4 Pt 2.77
In: 0.5000 0.5000 0.0000  4 Co 2.77, 4 Pt 2.77
Co: 0.2500 0.2500 0.2500  4 In 2.77, 4 Ag 2.77
Co: 0.2500 0.7500 0.7500  4 In 2.77, 4 Ag 2.77
Co: 0.7500 0.2500 0.7500  4 In 2.77, 4 Ag 2.77
Co: 0.7500 0.7500 0.2500  4 Ag 2.77, 4 In 2.77
Ag: 0.0000 0.0000 0.5000  4 Co 2.77, 4 Pt 2.77
Ag: 0.0000 0.5000 0.0000  4 Co 2.77, 4 Pt 2.77
Ag: 0.5000 0.0000 0.0000  4 Co 2.77, 4 Pt 2.77
Ag: 0.5000 0.5000 0.5000  4 Co 2.77, 4 Pt 2.77
Pt: 0.2500 0.2500 0.7500  4 In 2.77, 4 Ag 2.77
Pt: 0.2500 0.7500 0.2500  4 In 2.77, 4 Ag 2.77
Pt: 0.7500 0.2500 0.2500  4 In 2.77, 4 Ag 2.77
Pt: 0.7500 0.7500 0.7500  4 In 2.77, 4 Ag 2.77


Energy above the most stable polymorph in this dataset list, top to bottom, in meV per atom: 761, 0